The following is a PBE calculation of a relaxed structure of AcScAu, from Alexandria via LeMat-Bulk.

Results
Polymorph energy (0 for the lowest one): 146 meV/atom
V: 168.7 Å³ per cell
Electronic total energy: -5.024 eV per atom
Theoretical density: 9.2 g/cm3
Density of states at the Fermi level: 1.1503 states/eV per atom
E_form: -0.452 eV per atom

Lattice parameters (Å, degrees): 3.6620 3.6620 12.5823 90.00 90.00 90.00
Closest atoms and distances in Å follow each position.
Space group I4mm (No. 107)
Symmetry-distinct sites (fractional):
Ac 0.0000 0.0000 0.0000 x2  5 Au 3.53-3.90, 5 Sc 3.55-3.77, 4 Ac 3.66
Sc 0.0000 0.0000 0.2822 x2  4 Au 2.84
Au 0.0000 0.0000 0.6902 x2  4 Sc 2.84